# GGA+U WI2NO, relaxed
# - DFT total energy (eV per atom) = -3.725
# - spin magnetization (μB per cell) = 0.00
# - calculated volume (Å³/cell) = 115.8
data_WI2NO
_cell_length_a 5.495
_cell_length_b 5.495
_cell_length_c 3.833
_cell_angle_alpha 90.00
_cell_angle_beta 90.00
_cell_angle_gamma 90.00
_symmetry_space_group_name_H-M 'P 4/m m m'
_symmetry_Int_Tables_number 123
_symmetry_space_group_name_Hall '-P 4 2'
loop_
_atom_site_label
_atom_site_type_symbol
_atom_site_fract_x
_atom_site_fract_y
_atom_site_fract_z
W1 W 0.000 0.000 0.000
I1 I 0.000 0.500 0.000
N1 N 0.000 0.000 0.500
O1 O 0.500 0.500 0.500